Computed, not measured: a geometry-optimized Tb2Tm structure at the PBE level of DFT.

Results
Final energy, eV per cell: -54.7
Calculated formation energy, meV/atom: 19
ΔE to the lowest computed polymorph, meV per atom: 0

Cell and atoms, written as CIF:
```
data_Tb2Tm
_cell_length_a 11.169
_cell_length_b 4.983
_cell_length_c 7.060
_cell_angle_alpha 90.00
_cell_angle_beta 108.44
_cell_angle_gamma 90.00
_space_group_name_H-M_alt 'C 1 2/m 1'
_space_group_IT_number 12
loop_
_space_group_symop_operation_xyz
'x,y,z'
'-x,-y,-z'
'-x,y,-z'
'x,-y,z'
'x+1/2,y+1/2,z'
'-x+1/2,-y+1/2,-z'
'-x+1/2,y+1/2,-z'
'x+1/2,-y+1/2,z'
loop_
_atom_site_label
_atom_site_type_symbol
_atom_site_fract_x
_atom_site_fract_y
_atom_site_fract_z
_atom_site_occupancy
Tb1 Tb 0.001 0.000 0.251 1
Tb2 Tb 0.167 0.500 0.084 1
Tm1 Tm 0.166 0.500 0.583 1
```

Computed, not measured: a geometry-optimized AcSb2Pb structure at the PBE level of DFT.

Results
Final energy, eV per cell: -36.6
Formation energy without anion corrections, eV/atom: -0.566
ΔE to the lowest computed polymorph, meV per atom: 0

Cell and atoms, written as CIF:
```
data_AcSb2Pb
_cell_length_a 4.639
_cell_length_b 4.639
_cell_length_c 12.263
_cell_angle_alpha 90.00
_cell_angle_beta 90.00
_cell_angle_gamma 90.00
_space_group_name_H-M_alt 'P 4/n m m'
_space_group_IT_number 129
loop_
_space_group_symop_operation_xyz
'x,y,z'
'-x,-y,-z'
'-y+1/2,x,z'
'y+1/2,-x,-z'
'-x+1/2,-y+1/2,z'
'x+1/2,y+1/2,-z'
'y,-x+1/2,z'
'-y,x+1/2,-z'
'x+1/2,-y,-z'
'-x+1/2,y,z'
'-y,-x,-z'
'y,x,z'
'-x,y+1/2,-z'
'x,-y+1/2,z'
'y+1/2,x+1/2,-z'
'-y+1/2,-x+1/2,z'
loop_
_atom_site_label
_atom_site_type_symbol
_atom_site_fract_x
_atom_site_fract_y
_atom_site_fract_z
_atom_site_occupancy
Ac1 Ac 0.250 0.250 0.213 1
Sb1 Sb 0.250 0.250 0.712 1
Sb2 Sb 0.250 0.750 0.000 1
Pb1 Pb 0.250 0.750 0.500 1
```

Computed, not measured: a geometry-optimized Cs2CdIn structure at the PBE level of DFT.

Results
Final energy, eV per cell: -11.2
Calculated formation energy, meV/atom: -66

Cell and atoms, written as CIF:
```
data_Cs2CdIn
_cell_length_a 9.116
_cell_length_b 5.262
_cell_length_c 10.308
_cell_angle_alpha 90.00
_cell_angle_beta 107.09
_cell_angle_gamma 90.00
_space_group_name_H-M_alt 'C 1 m 1'
_space_group_IT_number 8
loop_
_space_group_symop_operation_xyz
'x,y,z'
'x,-y,z'
'x+1/2,y+1/2,z'
'x+1/2,-y+1/2,z'
loop_
_atom_site_label
_atom_site_type_symbol
_atom_site_fract_x
_atom_site_fract_y
_atom_site_fract_z
_atom_site_occupancy
Cs1 Cs 0.000 0.000 0.000 1
Cs2 Cs 0.174 0.000 0.524 1
Cd1 Cd 0.420 0.000 0.262 1
In1 In 0.254 0.500 0.262 1
```

Computed, not measured: a geometry-optimized LiCaAl3N4 structure at the PBE level of DFT.

Results
Final energy, eV per cell: -947.0
Formation energy without anion corrections, eV/atom: -1.194

Cell and atoms, written as CIF:
```
data_LiCaAl3N4
_cell_length_a 11.234
_cell_length_b 11.234
_cell_length_c 12.944
_cell_angle_alpha 90.00
_cell_angle_beta 90.00
_cell_angle_gamma 90.00
_space_group_name_H-M_alt 'I 41/a'
_space_group_IT_number 88
loop_
_space_group_symop_operation_xyz
'x,y,z'
'-x,-y,-z'
'-y+3/4,x+1/4,z+1/4'
'y+3/4,-x+1/4,-z+1/4'
'-x+1/2,-y,z+1/2'
'x+1/2,y,-z+1/2'
'y+3/4,-x+3/4,z+3/4'
'-y+3/4,x+3/4,-z+3/4'
'x+1/2,y+1/2,z+1/2'
'-x+1/2,-y+1/2,-z+1/2'
'-y+1/4,x+3/4,z+3/4'
'y+1/4,-x+3/4,-z+3/4'
'-x,-y+1/2,z'
'x,y+1/2,-z'
'y+1/4,-x+1/4,z+1/4'
'-y+1/4,x+1/4,-z+1/4'
loop_
_atom_site_label
_atom_site_type_symbol
_atom_site_fract_x
_atom_site_fract_y
_atom_site_fract_z
_atom_site_occupancy
Li1 Li 0.014 0.395 0.316 1
Ca1 Ca 0.232 0.009 0.820 1
Al1 Al 0.021 0.410 0.059 1
Al2 Al 0.022 0.414 0.566 1
Al3 Al 0.034 0.421 0.808 1
N1 N 0.059 0.080 0.931 1
N2 N 0.065 0.093 0.691 1
N3 N 0.079 0.087 0.177 1
N4 N 0.085 0.074 0.451 1
```

Computed, not measured: a geometry-optimized PuTlPb2 structure at the PBE level of DFT.

Results
Final energy, eV per cell: -70.2
Calculated formation energy, meV/atom: 182
ΔE to the lowest computed polymorph, meV per atom: 297

Cell and atoms, written as CIF:
```
data_PuTlPb2
_cell_length_a 5.0081
_cell_length_b 5.0081
_cell_length_c 18.4648
_cell_angle_alpha 90.00
_cell_angle_beta 90.00
_cell_angle_gamma 120.00
_space_group_name_H-M_alt 'R 3 m'
_space_group_IT_number 160
_space_group_name_Hall 'R 3 -2"'
loop_
_atom_site_label
_atom_site_type_symbol
_atom_site_fract_x
_atom_site_fract_y
_atom_site_fract_z
_atom_site_occupancy
Pu1 Pu 0.0000 0.0000 0.0000 1
Tl1 Tl 0.0000 0.0000 0.8211 1
Pb1 Pb 0.0000 0.0000 0.4032 1
Pb2 Pb 0.0000 0.0000 0.5863 1
```

Computed, not measured: a geometry-optimized CaZn9Ni2 structure at the PBE level of DFT.

Results
Final energy, eV per cell: -110.7
Calculated formation energy, meV/atom: -220
ΔE to the lowest computed polymorph, meV per atom: 0

Cell and atoms, written as CIF:
```
data_CaZn9Ni2
_cell_length_a 10.431
_cell_length_b 10.431
_cell_length_c 6.813
_cell_angle_alpha 90.00
_cell_angle_beta 90.00
_cell_angle_gamma 90.00
_space_group_name_H-M_alt 'I 41/a m d'
_space_group_IT_number 141
loop_
_space_group_symop_operation_xyz
'x,y,z'
'-x,-y,-z'
'-y+1/4,x+3/4,z+1/4'
'y+1/4,-x+3/4,-z+1/4'
'-x+1/2,-y,z+1/2'
'x+1/2,y,-z+1/2'
'y+1/4,-x+1/4,z+3/4'
'-y+1/4,x+1/4,-z+3/4'
'x,-y,-z'
'-x,y,z'
'-y+1/4,-x+1/4,-z+3/4'
'y+1/4,x+1/4,z+3/4'
'-x+1/2,y,-z+1/2'
'x+1/2,-y,z+1/2'
'y+1/4,x+3/4,-z+1/4'
'-y+1/4,-x+3/4,z+1/4'
'x+1/2,y+1/2,z+1/2'
'-x+1/2,-y+1/2,-z+1/2'
'-y+3/4,x+1/4,z+3/4'
'y+3/4,-x+1/4,-z+3/4'
'-x,-y+1/2,z'
'x,y+1/2,-z'
'y+3/4,-x+3/4,z+1/4'
'-y+3/4,x+3/4,-z+1/4'
'x+1/2,-y+1/2,-z+1/2'
'-x+1/2,y+1/2,z+1/2'
'-y+3/4,-x+3/4,-z+1/4'
'y+3/4,x+3/4,z+1/4'
'-x,y+1/2,-z'
'x,-y+1/2,z'
'y+3/4,x+1/4,-z+3/4'
'-y+3/4,-x+1/4,z+3/4'
loop_
_atom_site_label
_atom_site_type_symbol
_atom_site_fract_x
_atom_site_fract_y
_atom_site_fract_z
_atom_site_occupancy
Ca1 Ca 0.000 0.250 0.375 1
Zn1 Zn 0.000 0.250 0.875 1
Zn2 Zn 0.122 0.046 0.688 1
Ni1 Ni 0.000 0.000 0.000 1
```

Computed, not measured: a geometry-optimized YInAs2 structure at the PBE level of DFT.

Results
Final energy, eV per cell: -58.5
Calculated formation energy, meV/atom: -250

Cell and atoms, written as CIF:
```
data_YInAs2
_cell_length_a 4.4170
_cell_length_b 4.4170
_cell_length_c 19.4376
_cell_angle_alpha 90.00
_cell_angle_beta 90.00
_cell_angle_gamma 120.00
_space_group_name_H-M_alt 'R 3 m'
_space_group_IT_number 160
_space_group_name_Hall 'R 3 -2"'
loop_
_atom_site_label
_atom_site_type_symbol
_atom_site_fract_x
_atom_site_fract_y
_atom_site_fract_z
_atom_site_occupancy
Y1 Y 0.0000 0.0000 0.0000 1
In1 In 0.0000 0.0000 0.2213 1
As1 As 0.0000 0.0000 0.5092 1
As2 As 0.0000 0.0000 0.7236 1
```

Computed, not measured: a geometry-optimized Os3Rh structure at the PBE level of DFT.

Results
Final energy, eV per cell: -27.2
Calculated formation energy, meV/atom: 3459

Cell and atoms, written as CIF:
```
data_Os3Rh
_cell_length_a 4.705
_cell_length_b 4.705
_cell_length_c 4.705
_cell_angle_alpha 90.00
_cell_angle_beta 90.00
_cell_angle_gamma 90.00
_space_group_name_H-M_alt 'P m -3 m'
_space_group_IT_number 221
_space_group_name_Hall '-P 4 2 3'
loop_
_atom_site_label
_atom_site_type_symbol
_atom_site_fract_x
_atom_site_fract_y
_atom_site_fract_z
_atom_site_occupancy
Os1 Os 0.000 0.000 0.500 1
Rh1 Rh 0.000 0.000 0.000 1
```

Computed, not measured: a geometry-optimized LaPmDy2Y2 structure at the PBE level of DFT.

Results
Final energy, eV per cell: -60.2
Calculated formation energy, meV/atom: 285

Cell and atoms, written as CIF:
```
data_LaPmDy2Y2
_cell_length_a 6.671
_cell_length_b 17.953
_cell_length_c 3.399
_cell_angle_alpha 90.00
_cell_angle_beta 90.00
_cell_angle_gamma 90.00
_space_group_name_H-M_alt 'P n n m'
_space_group_IT_number 58
loop_
_space_group_symop_operation_xyz
'x,y,z'
'-x,-y,-z'
'-x,-y,z'
'x,y,-z'
'x+1/2,-y+1/2,-z+1/2'
'-x+1/2,y+1/2,z+1/2'
'-x+1/2,y+1/2,-z+1/2'
'x+1/2,-y+1/2,z+1/2'
loop_
_atom_site_label
_atom_site_type_symbol
_atom_site_fract_x
_atom_site_fract_y
_atom_site_fract_z
_atom_site_occupancy
La1 La 0.000 0.000 0.000 1
Pm1 Pm 0.000 0.500 0.000 1
Dy1 Dy 0.226 0.182 0.000 1
Y1 Y 0.223 0.348 0.500 1
```

Computed, not measured: a geometry-optimized RhPbOF2 structure at the PBE level of DFT.

Results
Final energy, eV per cell: -22.3
Formation energy without anion corrections, eV/atom: -0.502
ΔE to the lowest computed polymorph, meV per atom: 562

Cell and atoms, written as CIF:
```
data_RhPbOF2
_cell_length_a 4.589
_cell_length_b 4.589
_cell_length_c 4.291
_cell_angle_alpha 90.00
_cell_angle_beta 90.00
_cell_angle_gamma 90.00
_space_group_name_H-M_alt 'P 4/m m m'
_space_group_IT_number 123
_space_group_name_Hall '-P 4 2'
loop_
_atom_site_label
_atom_site_type_symbol
_atom_site_fract_x
_atom_site_fract_y
_atom_site_fract_z
_atom_site_occupancy
Rh1 Rh 0.000 0.000 0.000 1
Pb1 Pb 0.500 0.500 0.500 1
O1 O 0.500 0.500 0.000 1
F1 F 0.000 0.500 0.500 1
```

Computed, not measured: a geometry-optimized PrGdRuAu structure at the PBE level of DFT.

Results
Final energy, eV per cell: -132.8
Calculated formation energy, meV/atom: -447

Cell and atoms, written as CIF:
```
data_PrGdRuAu
_cell_length_a 7.180
_cell_length_b 7.180
_cell_length_c 7.180
_cell_angle_alpha 90.00
_cell_angle_beta 90.00
_cell_angle_gamma 90.00
_space_group_name_H-M_alt 'F -4 3 m'
_space_group_IT_number 216
_space_group_name_Hall 'F -4 2 3'
loop_
_atom_site_label
_atom_site_type_symbol
_atom_site_fract_x
_atom_site_fract_y
_atom_site_fract_z
_atom_site_occupancy
Pr1 Pr 0.000 0.000 0.000 1
Gd1 Gd 0.000 0.000 0.500 1
Ru1 Ru 0.250 0.250 0.250 1
Au1 Au 0.250 0.250 0.750 1
```

The D(E_F) results, record by record, are as follows: 1.35 0.55 0.85 0.00 3.75 0.51 0.39 1.84 1.82 1.62 0.73 states/eV/atom.